Material: In2SiTe
Method: DFT, PBE
State: optimized geometry

Cell lengths 7.531, 7.531, 7.531 Å; angles 31.63, 31.63, 31.63 degrees
Element x y z (fractional)
In 0.239 0.239 0.239
In 0.761 0.761 0.761
Si 0.500 0.500 0.500
Te 0.000 0.000 0.000

Results
V	26.07	Å³ per atom
N(E_F)	1.8	states/eV/cell
energy relative to the lowest polymorph listed for this composition	13.81	kJ per mole of atoms
total energy	-13.74	eV for the cell shown